No. 1
The following is a DFT calculation (PBE) of a relaxed structure of MgCu4Pd7.

a = 5.506 Å, b = 5.506 Å, c = 9.341 Å
α = 117.09°, β = 117.09°, γ = 50.61°
Sites, in units of the cell vectors:
Mg: 0.000 0.000 0.000
Cu: 0.281 0.281 0.686
Cu: 0.429 0.429 0.229
Cu: 0.571 0.571 0.771
Cu: 0.719 0.719 0.314
Pd: 0.042 0.042 0.379
Pd: 0.206 0.206 0.916
Pd: 0.343 0.343 0.444
Pd: 0.500 0.500 0.000
Pd: 0.657 0.657 0.556
Pd: 0.794 0.794 0.084
Pd: 0.958 0.958 0.621

DOS(E_F): 9.658 states/eV/cell
total magnetic moment: 0.000 μB per cell
space group: C2/m (12)
excess energy over the best structure of this formula in the dataset: 0.244 eV per atom
formation energy from the elements: 0.03 eV/atom


No. 2
The following is a DFT calculation (PBE) of a relaxed structure of MgCuPd14.

a = 9.162 Å, b = 5.551 Å, c = 5.551 Å
α = 60.33°, β = 90.00°, γ = 90.00°
Sites, in units of the cell vectors:
Mg: 0.000 0.000 0.000
Cu: 0.000 0.500 0.500
Pd: 0.000 0.000 0.501
Pd: 0.000 0.501 0.000
Pd: 0.245 0.333 0.831
Pd: 0.245 0.334 0.334
Pd: 0.245 0.831 0.333
Pd: 0.249 0.833 0.833
Pd: 0.500 0.166 0.166
Pd: 0.500 0.166 0.665
Pd: 0.500 0.665 0.166
Pd: 0.500 0.665 0.665
Pd: 0.751 0.833 0.833
Pd: 0.755 0.333 0.831
Pd: 0.755 0.334 0.334
Pd: 0.755 0.831 0.333

DOS(E_F): 29.755 states/eV/cell
total magnetic moment: 0.003 μB per cell
space group: Amm2 (38)
formation energy from the elements: -0.12 eV/atom


No. 3
The following is a DFT calculation (PBE) of a relaxed structure of MgCu3Pd.

a = 4.659 Å, b = 4.659 Å, c = 4.659 Å
α = 90.00°, β = 90.00°, γ = 90.00°
Sites, in units of the cell vectors:
Mg: 0.000 0.000 0.000
Cu: 0.000 0.500 0.500
Cu: 0.500 0.000 0.500
Cu: 0.500 0.500 0.000
Pd: 0.500 0.500 0.500

DOS(E_F): 2.237 states/eV/cell
total magnetic moment: 0.000 μB per cell
space group: Pm-3m (221)
excess energy over the best structure of this formula in the dataset: 0.000 eV per atom
formation energy from the elements: 0.63 eV/atom


No. 4
The following is a DFT calculation (PBE) of a relaxed structure of Mg2Cu3Pd4.

a = 4.004 Å, b = 4.609 Å, c = 8.183 Å
α = 76.60°, β = 89.89°, γ = 64.37°
Sites, in units of the cell vectors:
Mg: 0.177 0.146 0.223
Mg: 0.823 0.854 0.777
Cu: 0.155 0.188 0.552
Cu: 0.500 0.500 0.000
Cu: 0.845 0.812 0.448
Pd: 0.161 0.178 0.887
Pd: 0.483 0.535 0.661
Pd: 0.517 0.465 0.339
Pd: 0.839 0.822 0.113

DOS(E_F): 2.838 states/eV/cell
total magnetic moment: 0.000 μB per cell
space group: P-1 (2)
formation energy from the elements: -0.38 eV/atom


No. 5
The following is a DFT calculation (PBE) of a relaxed structure of Mg12Cu6Pd.

a = 7.628 Å, b = 7.628 Å, c = 7.628 Å
α = 109.47°, β = 109.47°, γ = 109.47°
Sites, in units of the cell vectors:
Mg: 0.100 0.279 0.821
Mg: 0.179 0.458 0.279
Mg: 0.179 0.900 0.721
Mg: 0.279 0.179 0.458
Mg: 0.279 0.821 0.100
Mg: 0.458 0.279 0.179
Mg: 0.542 0.721 0.821
Mg: 0.721 0.179 0.900
Mg: 0.721 0.821 0.542
Mg: 0.821 0.100 0.279
Mg: 0.821 0.542 0.721
Mg: 0.900 0.721 0.179
Cu: 0.137 0.500 0.637
Cu: 0.363 0.863 0.500
Cu: 0.500 0.363 0.863
Cu: 0.500 0.637 0.137
Cu: 0.637 0.137 0.500
Cu: 0.863 0.500 0.363
Pd: 0.000 0.000 0.000

DOS(E_F): 4.327 states/eV/cell
total magnetic moment: 0.000 μB per cell
space group: Im-3 (204)
formation energy from the elements: -0.11 eV/atom


No. 6
The following is a DFT calculation (PBE) of a relaxed structure of Mg5CuPd8.

a = 6.702 Å, b = 6.702 Å, c = 6.702 Å
α = 110.27°, β = 110.27°, γ = 107.89°
Sites, in units of the cell vectors:
Mg: 0.000 0.000 0.000
Mg: 0.221 0.614 0.147
Mg: 0.386 0.534 0.607
Mg: 0.466 0.074 0.853
Mg: 0.926 0.779 0.393
Cu: 0.750 0.250 0.500
Pd: 0.096 0.680 0.755
Pd: 0.156 0.256 0.751
Pd: 0.320 0.075 0.416
Pd: 0.505 0.405 0.249
Pd: 0.595 0.844 0.100
Pd: 0.659 0.904 0.584
Pd: 0.744 0.495 0.900
Pd: 0.925 0.341 0.245

DOS(E_F): 5.024 states/eV/cell
total magnetic moment: 0.000 μB per cell
space group: I-4 (82)
formation energy from the elements: -0.44 eV/atom


No. 7
The following is a DFT calculation (PBE) of a relaxed structure of MgCu5Pd4.

a = 5.127 Å, b = 5.127 Å, c = 7.422 Å
α = 93.08°, β = 93.08°, γ = 49.54°
Sites, in units of the cell vectors:
Mg: 0.000 0.000 0.000
Cu: 0.000 0.000 0.500
Cu: 0.256 0.256 0.410
Cu: 0.316 0.316 0.058
Cu: 0.684 0.684 0.942
Cu: 0.744 0.744 0.590
Pd: 0.184 0.184 0.754
Pd: 0.470 0.470 0.701
Pd: 0.530 0.530 0.299
Pd: 0.816 0.816 0.246

DOS(E_F): 4.070 states/eV/cell
total magnetic moment: 0.000 μB per cell
space group: C2/m (12)
formation energy from the elements: -0.08 eV/atom


No. 8
The following is a DFT calculation (PBE) of a relaxed structure of Mg6CuPd.

a = 5.972 Å, b = 5.972 Å, c = 6.012 Å
α = 102.10°, β = 102.10°, γ = 118.99°
Sites, in units of the cell vectors:
Mg: 0.048 0.443 0.250
Mg: 0.248 0.248 0.752
Mg: 0.443 0.048 0.250
Mg: 0.557 0.952 0.750
Mg: 0.752 0.752 0.248
Mg: 0.952 0.557 0.750
Cu: 0.000 0.000 0.000
Pd: 0.500 0.500 0.500

DOS(E_F): 3.598 states/eV/cell
total magnetic moment: 0.000 μB per cell
space group: C2/m (12)
excess energy over the best structure of this formula in the dataset: 0.166 eV per atom
formation energy from the elements: -0.05 eV/atom


No. 9
The following is a DFT calculation (PBE) of a relaxed structure of MgCu5Pd8.

a = 6.501 Å, b = 6.501 Å, c = 6.501 Å
α = 110.62°, β = 110.62°, γ = 107.19°
Sites, in units of the cell vectors:
Mg: 0.000 0.000 0.000
Cu: 0.045 0.454 0.834
Cu: 0.250 0.750 0.500
Cu: 0.546 0.380 0.591
Cu: 0.620 0.211 0.166
Cu: 0.789 0.955 0.409
Pd: 0.086 0.321 0.422
Pd: 0.269 0.170 0.760
Pd: 0.336 0.914 0.235
Pd: 0.410 0.509 0.240
Pd: 0.491 0.731 0.902
Pd: 0.679 0.101 0.765
Pd: 0.830 0.590 0.098
Pd: 0.899 0.664 0.578

DOS(E_F): 10.767 states/eV/cell
total magnetic moment: 0.000 μB per cell
space group: I-4 (82)
formation energy from the elements: -0.05 eV/atom


No. 10
The following is a DFT calculation (PBE) of a relaxed structure of MgCuPd5.

a = 5.559 Å, b = 5.559 Å, c = 5.559 Å
α = 125.00°, β = 104.24°, γ = 100.40°
Sites, in units of the cell vectors:
Mg: 0.000 0.000 0.000
Cu: 0.638 0.138 0.500
Pd: 0.147 0.461 0.687
Pd: 0.306 0.050 0.744
Pd: 0.306 0.562 0.256
Pd: 0.659 0.659 0.000
Pd: 0.774 0.461 0.313

DOS(E_F): 8.710 states/eV/cell
total magnetic moment: 0.000 μB per cell
space group: Imm2 (44)
excess energy over the best structure of this formula in the dataset: 0.269 eV per atom
formation energy from the elements: 0.15 eV/atom


No. 11
The following is a DFT calculation (PBE) of a relaxed structure of Mg6CuPd.

a = 8.242 Å, b = 8.242 Å, c = 8.242 Å
α = 148.26°, β = 148.26°, γ = 45.50°
Sites, in units of the cell vectors:
Mg: 0.102 0.602 0.500
Mg: 0.249 0.249 0.000
Mg: 0.398 0.898 0.500
Mg: 0.602 0.102 0.500
Mg: 0.751 0.751 0.000
Mg: 0.898 0.398 0.500
Cu: 0.500 0.500 0.000
Pd: 0.000 0.000 0.000

DOS(E_F): 2.992 states/eV/cell
total magnetic moment: 0.000 μB per cell
space group: I4/mmm (139)
excess energy over the best structure of this formula in the dataset: 0.000 eV per atom
formation energy from the elements: -0.22 eV/atom


No. 12
The following is a DFT calculation (PBE) of a relaxed structure of Mg8CuPd5.

a = 6.873 Å, b = 6.873 Å, c = 6.873 Å
α = 110.17°, β = 110.17°, γ = 108.08°
Sites, in units of the cell vectors:
Mg: 0.105 0.701 0.762
Mg: 0.152 0.254 0.757
Mg: 0.299 0.061 0.405
Mg: 0.498 0.395 0.243
Mg: 0.605 0.848 0.103
Mg: 0.657 0.895 0.595
Mg: 0.746 0.502 0.897
Mg: 0.939 0.343 0.238
Cu: 0.000 0.000 0.000
Pd: 0.226 0.620 0.156
Pd: 0.380 0.536 0.606
Pd: 0.464 0.070 0.844
Pd: 0.750 0.250 0.500
Pd: 0.930 0.774 0.394

DOS(E_F): 5.470 states/eV/cell
total magnetic moment: 0.000 μB per cell
space group: I-4 (82)
formation energy from the elements: -0.43 eV/atom


No. 13
The following is a DFT calculation (PBE) of a relaxed structure of MgCu23Pd6.

a = 8.221 Å, b = 8.221 Å, c = 8.221 Å
α = 60.00°, β = 60.00°, γ = 60.00°
Sites, in units of the cell vectors:
Mg: 0.000 0.000 0.000
Cu: 0.000 0.000 0.500
Cu: 0.000 0.500 0.000
Cu: 0.000 0.500 0.500
Cu: 0.132 0.623 0.623
Cu: 0.163 0.163 0.163
Cu: 0.163 0.163 0.510
Cu: 0.163 0.510 0.163
Cu: 0.377 0.377 0.377
Cu: 0.377 0.377 0.868
Cu: 0.377 0.868 0.377
Cu: 0.490 0.837 0.837
Cu: 0.500 0.000 0.000
Cu: 0.500 0.000 0.500
Cu: 0.500 0.500 0.000
Cu: 0.500 0.500 0.500
Cu: 0.510 0.163 0.163
Cu: 0.623 0.132 0.623
Cu: 0.623 0.623 0.132
Cu: 0.623 0.623 0.623
Cu: 0.837 0.490 0.837
Cu: 0.837 0.837 0.490
Cu: 0.837 0.837 0.837
Cu: 0.868 0.377 0.377
Pd: 0.229 0.229 0.771
Pd: 0.229 0.771 0.229
Pd: 0.229 0.771 0.771
Pd: 0.771 0.229 0.229
Pd: 0.771 0.229 0.771
Pd: 0.771 0.771 0.229

DOS(E_F): 16.265 states/eV/cell
total magnetic moment: 0.000 μB per cell
space group: Fm-3m (225)
formation energy from the elements: -0.04 eV/atom


No. 14
The following is a DFT calculation (PBE) of a relaxed structure of Mg2CuPd8.

a = 3.991 Å, b = 3.991 Å, c = 11.019 Å
α = 90.00°, β = 90.00°, γ = 90.00°
Sites, in units of the cell vectors:
Mg: 0.000 0.000 0.177
Mg: 0.000 0.000 0.823
Cu: 0.000 0.000 0.500
Pd: 0.000 0.500 0.000
Pd: 0.000 0.500 0.357
Pd: 0.000 0.500 0.643
Pd: 0.500 0.000 0.000
Pd: 0.500 0.000 0.357
Pd: 0.500 0.000 0.643
Pd: 0.500 0.500 0.179
Pd: 0.500 0.500 0.821

DOS(E_F): 11.898 states/eV/cell
total magnetic moment: 0.000 μB per cell
space group: P4/mmm (123)
excess energy over the best structure of this formula in the dataset: 0.000 eV per atom
formation energy from the elements: -0.28 eV/atom


No. 15
The following is a DFT calculation (PBE) of a relaxed structure of Mg2Cu2Pd5.

a = 8.092 Å, b = 4.419 Å, c = 4.419 Å
α = 60.17°, β = 90.00°, γ = 90.00°
Sites, in units of the cell vectors:
Mg: 0.184 0.000 0.000
Mg: 0.816 0.000 0.000
Cu: 0.000 0.667 0.667
Cu: 0.500 0.335 0.335
Pd: 0.166 0.334 0.334
Pd: 0.331 0.667 0.667
Pd: 0.500 0.001 0.001
Pd: 0.669 0.667 0.667
Pd: 0.834 0.334 0.334

DOS(E_F): 3.853 states/eV/cell
total magnetic moment: 0.000 μB per cell
space group: Amm2 (38)
formation energy from the elements: -0.32 eV/atom


No. 16
The following is a DFT calculation (PBE) of a relaxed structure of Mg2CuPd.

a = 3.231 Å, b = 3.231 Å, c = 6.125 Å
α = 90.00°, β = 90.00°, γ = 90.00°
Sites, in units of the cell vectors:
Mg: 0.000 0.000 0.250
Mg: 0.000 0.000 0.750
Cu: 0.500 0.500 0.000
Pd: 0.500 0.500 0.500

DOS(E_F): 1.117 states/eV/cell
total magnetic moment: 0.000 μB per cell
space group: P4/mmm (123)
formation energy from the elements: -0.41 eV/atom


No. 17
The following is a DFT calculation (PBE) of a relaxed structure of MgCu3Pd7.

a = 6.479 Å, b = 6.479 Å, c = 4.679 Å
α = 109.85°, β = 109.85°, γ = 90.46°
Sites, in units of the cell vectors:
Mg: 0.000 0.000 0.000
Cu: 0.272 0.728 0.500
Cu: 0.500 0.500 0.000
Cu: 0.728 0.272 0.500
Pd: 0.000 0.000 0.500
Pd: 0.103 0.544 0.822
Pd: 0.321 0.321 0.345
Pd: 0.456 0.897 0.178
Pd: 0.544 0.103 0.822
Pd: 0.679 0.679 0.655
Pd: 0.897 0.456 0.178

DOS(E_F): 10.796 states/eV/cell
total magnetic moment: 0.000 μB per cell
space group: C2/m (12)
formation energy from the elements: 0.02 eV/atom


No. 18
The following is a DFT calculation (PBE) of a relaxed structure of MgCu2Pd9.

a = 3.916 Å, b = 3.916 Å, c = 11.757 Å
α = 90.00°, β = 90.00°, γ = 90.00°
Sites, in units of the cell vectors:
Mg: 0.000 0.000 0.000
Cu: 0.000 0.000 0.336
Cu: 0.000 0.000 0.664
Pd: 0.000 0.500 0.172
Pd: 0.000 0.500 0.500
Pd: 0.000 0.500 0.828
Pd: 0.500 0.000 0.172
Pd: 0.500 0.000 0.500
Pd: 0.500 0.000 0.828
Pd: 0.500 0.500 0.000
Pd: 0.500 0.500 0.336
Pd: 0.500 0.500 0.664

DOS(E_F): 15.544 states/eV/cell
total magnetic moment: 0.000 μB per cell
space group: P4/mmm (123)
formation energy from the elements: -0.19 eV/atom


No. 19
The following is a DFT calculation (PBE) of a relaxed structure of MgCu3Pd4.

a = 4.339 Å, b = 4.339 Å, c = 6.043 Å
α = 90.00°, β = 90.00°, γ = 90.00°
Sites, in units of the cell vectors:
Mg: 0.000 0.000 0.000
Cu: 0.000 0.000 0.500
Cu: 0.500 0.500 0.000
Cu: 0.500 0.500 0.500
Pd: 0.000 0.500 0.255
Pd: 0.000 0.500 0.745
Pd: 0.500 0.000 0.255
Pd: 0.500 0.000 0.745

DOS(E_F): 1.881 states/eV/cell
total magnetic moment: 0.000 μB per cell
space group: P4/mmm (123)
formation energy from the elements: -0.31 eV/atom


No. 20
The following is a DFT calculation (PBE) of a relaxed structure of Mg4CuPd15.

a = 3.958 Å, b = 3.958 Å, c = 19.802 Å
α = 90.00°, β = 90.00°, γ = 90.00°
Sites, in units of the cell vectors:
Mg: 0.000 0.000 0.101
Mg: 0.000 0.000 0.303
Mg: 0.000 0.000 0.697
Mg: 0.000 0.000 0.899
Cu: 0.000 0.000 0.500
Pd: 0.000 0.500 0.000
Pd: 0.000 0.500 0.202
Pd: 0.000 0.500 0.404
Pd: 0.000 0.500 0.596
Pd: 0.000 0.500 0.798
Pd: 0.500 0.000 0.000
Pd: 0.500 0.000 0.202
Pd: 0.500 0.000 0.404
Pd: 0.500 0.000 0.596
Pd: 0.500 0.000 0.798
Pd: 0.500 0.500 0.101
Pd: 0.500 0.500 0.303
Pd: 0.500 0.500 0.500
Pd: 0.500 0.500 0.697
Pd: 0.500 0.500 0.899

DOS(E_F): 25.439 states/eV/cell
total magnetic moment: 0.000 μB per cell
space group: P4/mmm (123)
formation energy from the elements: -0.39 eV/atom


The energy results, record by record, are as follows: -4.495; -5.023; -3.185; -4.411; -2.688; -4.269; -4.369; -2.409; -4.594; -4.369; -2.575; -3.489; -4.269; -4.719; -4.467; -3.534; -4.551; -4.904; -4.646; -4.810 eV/atom.